*P*
First-principles (PBE) data for an optimized crystal structure of Ba2NpS5, as listed in Alexandria via LeMat-Bulk.

space-group type: Fmmm (69)

```
8
Lattice="-4.3130 3.0681 -1.8323 -4.6931 -2.6736 -1.9910 -5.2317 1.5374 6.3282" Properties=species:S:1:pos:R:3 pbc="T T T"
S -5.5409 2.3080 -0.2144
S -8.6968 -0.3762 2.7194
S -7.1601 -0.3779 -0.9005
Ba -10.3951 2.5012 2.9741
Ba -3.8427 -0.5693 -0.4691
S -7.0776 2.3097 3.4055
S -4.9624 -0.5681 2.1686
Np -7.1189 0.9659 1.2525
```

*Q*
First-principles (PBE) data for an optimized crystal structure of Ba2NpS5, as listed in Alexandria via LeMat-Bulk.

space-group type: I4mm (107)

```
8
Lattice="7.3589 -0.0001 -0.0004 0.0000 7.3587 -0.0003 -3.6793 -3.6792 4.3384" Properties=species:S:1:pos:R:3 pbc="T T T"
S 1.7707 5.5879 0.0670
S 1.7707 1.7707 0.0669
S 3.6794 3.6792 1.9719
Np 0.0000 0.0000 0.0247
Ba 0.0003 3.6793 2.2375
Ba 3.6795 0.0001 2.2374
S 5.5882 1.7706 0.0670
S 5.5882 5.5878 0.0668
```

On energetic grounds, *Q* is preferred over the next structure by 0.169 eV/atom.

*P*
First-principles (PBE) data for an optimized crystal structure of BaNpS4, as listed in Alexandria via LeMat-Bulk.

space-group type: Cmmm (65)

```
12
Lattice="-5.1051 -4.8006 -1.4387 3.3761 -3.9473 1.1912 -2.4016 0.2580 7.6612" Properties=species:S:1:pos:R:3 pbc="T T T"
S 0.7401 -4.1054 2.1787
Np 0.0000 0.0000 0.0000
Ba -2.0653 -4.2449 3.7069
S -4.8707 -4.3845 5.2351
S -0.9480 -2.1316 1.5831
S -1.8125 -6.5055 1.4594
Np -0.8645 -4.3739 -0.1237
S -3.1826 -6.3583 5.8307
S -2.3180 -1.9844 5.9544
S -3.5005 -4.5319 0.8638
S -0.6301 -3.9580 6.5500
Ba -1.2008 0.1290 3.8306
```

*Q*
First-principles (PBE) data for an optimized crystal structure of BaNpS4, as listed in Alexandria via LeMat-Bulk.

space-group type: P4/mmm (123)

```
6
Lattice="-3.0783 3.1406 1.1610 -2.2478 -3.1072 2.4453 4.0882 1.7812 6.0213" Properties=species:S:1:pos:R:3 pbc="T T T"
S 1.7554 -0.2991 5.4635
Np -0.6190 0.9073 4.8138
S 1.3402 2.8248 4.8213
S -0.3303 2.0970 2.3610
Ba 0.0000 0.0000 0.0000
S 0.0850 -1.0269 3.0032
```

On energetic grounds, *Q* is preferred over the next structure by 0.017 eV/atom.

*P*
First-principles (PBE) data for an optimized crystal structure of BaNp4Se8, as listed in Alexandria via LeMat-Bulk.

space-group type: F-43m (216)

```
13
Lattice="-5.5554 4.7923 4.5866 -8.4061 0.0283 -2.0499 -5.7384 -3.8352 5.2180" Properties=species:S:1:pos:R:3 pbc="T T T"
Se -9.5069 2.2143 2.4941
Np -7.3114 0.3657 2.8781
Se -9.5841 -1.4248 2.7605
Np -10.2692 -1.6111 5.5676
Se -11.9273 0.5966 4.6951
Se -6.4818 0.1488 0.1549
Np -11.6443 0.3803 1.8215
Np -10.1749 2.8359 5.2422
Se -8.3816 0.5847 5.5597
Se -2.7224 0.1362 1.0717
Se -5.2069 2.2794 3.1229
Se -5.2888 -1.5790 3.4053
Ba -14.7750 0.7390 5.8160
```

*Q*
First-principles (PBE) data for an optimized crystal structure of BaNp4Se8, as listed in Alexandria via LeMat-Bulk.

space-group type: C2/m (12)

```
13
Lattice="-1.9683 -1.9165 -7.8597 -4.6760 -2.8671 6.2639 -1.2222 8.8015 0.5049" Properties=species:S:1:pos:R:3 pbc="T T T"
Np -1.6350 -1.1771 -0.3927
Ba -2.9491 2.9672 3.3844
Se -4.9487 4.0358 -2.9937
Se -3.9453 5.1330 1.0400
Se -1.7470 0.3257 -5.2028
Np -4.1250 -2.4583 2.7446
Np -3.7415 6.4762 -3.8353
Se -6.1196 3.6922 4.1121
Se -2.9179 -0.0179 1.9029
Se -7.1603 2.6373 0.1072
Np -5.0093 -3.6065 -1.2031
Se -0.7063 1.3806 -1.1980
Se -3.9212 -1.1151 -2.1308
```

On energetic grounds, *Q* is preferred over the next structure by 0.051 eV/atom.

*P*
First-principles (PBE) data for an optimized crystal structure of BaO10, as listed in Alexandria via LeMat-Bulk.

space-group type: P4/mmm (123)

```
22
Lattice="6.2803 0.0000 0.0000 0.0000 6.2803 0.0000 0.0000 0.0000 11.1089" Properties=species:S:1:pos:R:3 pbc="T T T"
O 3.1402 3.1402 10.4928
O 2.5060 0.0009 10.0495
O 0.0009 3.7743 1.0594
O 3.7743 0.0009 4.4950
Ba 0.0000 0.0000 5.5545
O 0.0009 2.5060 6.6139
O 6.2794 3.7743 6.6139
O 2.5060 6.2794 6.6139
O 3.1402 3.1402 4.9383
O 0.0009 3.7743 10.0495
O 6.2794 2.5060 1.0594
O 3.7743 0.0009 6.6139
Ba 0.0000 0.0000 0.0000
O 2.5060 6.2794 4.4950
O 3.1402 3.1402 6.1706
O 2.5060 0.0009 1.0594
O 6.2794 3.7743 4.4950
O 0.0009 2.5060 4.4950
O 3.7743 6.2794 1.0594
O 6.2794 2.5060 10.0495
O 3.1402 3.1402 0.6162
O 3.7743 6.2794 10.0495
```

*Q*
First-principles (PBE) data for an optimized crystal structure of BaO10, as listed in Alexandria via LeMat-Bulk.

space-group type: P4/mcc (124)

```
22
Lattice="-0.9033 -0.1764 -5.7645 3.9522 -4.2683 -0.4887 -7.3982 -7.0076 1.3738" Properties=species:S:1:pos:R:3 pbc="T T T"
O 0.4275 -6.9191 -2.2402
O -2.8943 -5.9386 0.3300
O 2.4662 -4.8569 -3.7644
O -3.2909 -3.1257 -2.9152
O -2.9410 -6.9211 -4.9335
Ba -5.5486 -5.2557 1.0303
O -6.8156 -6.5954 -1.1151
O -1.4551 -5.5136 -5.2095
O -3.4460 -10.4569 -2.6666
O 1.5681 -3.2592 -0.4513
O -4.7769 -4.5332 -2.6393
O -4.3442 -8.8592 0.6466
O -5.4313 -8.8108 -1.8350
O -0.9033 -0.9953 -2.2129
O 1.0819 -2.6415 -3.0444
Ba -1.8495 -1.7519 0.3434
O -0.0052 -2.5930 -5.5260
O -5.9174 -8.1931 -4.4282
O -1.0584 -8.3266 -1.9643
O -2.6172 -6.1453 -2.3576
O -1.7322 -5.3070 -2.5219
O -1.4083 -4.5311 0.0541
```

On energetic grounds, *Q* is preferred over the next structure by 0.011 eV/atom.

*P*
First-principles (PBE) data for an optimized crystal structure of BaO5, as listed in Alexandria via LeMat-Bulk.

space-group type: Pnma (62)

```
24
Lattice="5.2689 0.0000 0.0000 0.0000 6.8035 0.0000 0.0000 0.0000 10.6882" Properties=species:S:1:pos:R:3 pbc="T T T"
O 0.4205 1.7062 4.4430
Ba 5.1551 0.5471 8.0161
O 0.2720 3.9925 6.2364
O 0.2720 3.9925 9.7959
O 2.7791 0.1805 2.6720
Ba 2.7483 3.9489 8.0161
Ba 0.1138 6.2565 2.6720
O 0.1446 3.2213 8.0161
O 2.3625 0.5908 6.2364
O 3.0549 1.6956 6.2452
O 3.0549 1.6956 9.7871
O 4.9970 2.8110 4.4518
O 2.2140 5.1080 0.9011
O 2.3625 0.5908 9.7959
O 4.9970 2.8110 0.8923
O 2.4898 6.6230 8.0161
O 2.9065 6.2128 0.8923
O 4.8485 5.0973 6.2452
O 5.1243 3.5823 2.6720
O 0.4205 1.7062 0.9011
O 2.9065 6.2128 4.4518
Ba 2.5207 2.8547 2.6720
O 2.2140 5.1080 4.4430
O 4.8485 5.0973 9.7871
```

*Q*
First-principles (PBE) data for an optimized crystal structure of BaO5, as listed in Alexandria via LeMat-Bulk.

space-group type: Cm (8)

```
6
Lattice="4.3286 0.0000 0.0000 -2.1643 3.6405 -1.3699 0.0000 -1.2503 7.6940" Properties=species:S:1:pos:R:3 pbc="T T T"
O 2.1643 2.3194 1.6832
O 0.0000 2.2247 -0.6362
Ba 2.1643 3.4757 -1.1087
O 0.0000 1.9473 4.2668
O 2.1643 1.1621 2.1888
O 2.1643 -0.4897 5.2533
```

On energetic grounds, *Q* is preferred over the next structure by 0.082 eV/atom.

*P*
First-principles (PBE) data for an optimized crystal structure of Ba3OsO8, as listed in Alexandria via LeMat-Bulk.

space-group type: C2 (5)

```
12
Lattice="-1.3931 -3.7604 -3.6866 -5.0519 0.7321 5.8482 -4.4669 3.1352 -1.5099" Properties=species:S:1:pos:R:3 pbc="T T T"
O -6.2999 -1.5734 1.5760
O -6.1310 1.4521 1.6532
O -8.6747 0.1053 0.7397
O -5.5197 -0.1889 -3.3473
O -1.4818 -0.5166 0.1339
Ba -3.7534 -0.2425 1.7274
Ba -6.4247 -0.1656 -0.8277
Os -4.0998 2.8775 -1.3858
O -3.8812 1.1553 -0.6437
Ba -7.6528 0.1885 3.3612
O -9.0389 2.8552 2.7664
O -4.0510 -1.8576 -0.7547
```

*Q*
First-principles (PBE) data for an optimized crystal structure of Ba3OsO8, as listed in Alexandria via LeMat-Bulk.

space-group type: I4/mmm (139)

```
12
Lattice="-2.7665 -4.3507 2.9783 -0.6523 -3.0551 -5.0689 6.8161 1.0856 1.9656" Properties=species:S:1:pos:R:3 pbc="T T T"
Ba 2.2272 -2.8362 -2.0743
O 0.3703 -2.0061 -0.2257
Ba 1.1701 -3.4840 1.9493
O -1.2989 -4.6311 1.5712
O -0.0233 -3.8493 -3.2840
O 3.0270 -4.3141 0.1007
Os 0.0000 0.0000 0.0000
O 5.0897 0.1541 1.3620
O -1.6924 -6.4743 -1.4871
O 4.6961 -1.6891 -1.6962
O 3.4205 -2.4708 3.1589
Ba -1.7094 -3.7029 -1.0453
```

On energetic grounds, *P* is preferred over the next structure by 0.359 eV/atom.

*P*
First-principles (PBE) data for an optimized crystal structure of Ba2OsO2, as listed in Alexandria via LeMat-Bulk.

space-group type: I4/mmm (139)

```
5
Lattice="-2.9535 3.6509 -0.4481 -1.3050 -1.5774 -4.2500 -6.5021 -2.1890 0.1909" Properties=species:S:1:pos:R:3 pbc="T T T"
O -4.9681 -1.3648 -3.2041
Ba -3.5381 -0.0025 -1.5307
O -5.7924 1.2493 -1.3031
Ba -7.2225 -0.1130 -2.9765
Os 0.0000 0.0000 0.0000
```

*Q*
First-principles (PBE) data for an optimized crystal structure of Ba2OsO2, as listed in Alexandria via LeMat-Bulk.

space-group type: P4/mbm (127)

```
10
Lattice="8.0404 0.0000 0.0000 0.0000 8.0404 0.0000 0.0000 0.0000 3.2733" Properties=species:S:1:pos:R:3 pbc="T T T"
Ba 1.2182 2.8020 0.0000
Ba 2.8020 6.8222 0.0000
Os 4.0202 4.0202 0.0000
Ba 6.8222 5.2383 0.0000
O 1.2166 5.2368 1.6367
Ba 5.2383 1.2182 0.0000
O 2.8036 1.2166 1.6367
O 6.8238 2.8036 1.6367
Os 0.0000 0.0000 0.0000
O 5.2368 6.8238 1.6367
```

On energetic grounds, *P* is preferred over the next structure by 0.140 eV/atom.

*P*
First-principles (PBE) data for an optimized crystal structure of Ba2Os2O7, as listed in Alexandria via LeMat-Bulk.

space-group type: C2/m (12)

```
11
Lattice="-1.0934 0.1097 -4.4063 5.7470 -3.3654 -1.6191 -4.5037 -5.0906 0.8816" Properties=species:S:1:pos:R:3 pbc="T T T"
O 0.2468 -3.1898 -1.1889
O -0.8517 -6.8571 -1.1294
Ba 2.2635 -3.8048 -3.1058
O -2.1795 -2.0246 -3.2384
Ba -2.1137 -4.5415 -2.0380
Os 0.9335 -6.6017 -0.7280
O 0.0000 0.0000 0.0000
Os -0.7837 -1.7446 -4.4158
O -0.0970 -5.1566 -3.9549
O 2.3293 -6.3217 -1.9054
O 1.0015 -1.4893 -4.0144
```

*Q*
First-principles (PBE) data for an optimized crystal structure of Ba2Os2O7, as listed in Alexandria via LeMat-Bulk.

space-group type: Imma (74)

```
22
Lattice="-5.5642 5.0105 1.2014 -6.6100 -2.3289 3.0329 -1.5439 2.3195 7.1099" Properties=species:S:1:pos:R:3 pbc="T T T"
Os -3.5540 3.6650 4.1556
O -8.8082 5.5351 7.9227
O -9.9888 1.7826 9.1357
Ba -3.3050 -1.1644 1.5164
O -3.7293 3.2186 2.2084
Ba -6.0871 1.3408 2.1171
O -4.4107 1.8977 4.5612
Ba -6.8590 2.5006 5.6721
O -5.8284 -0.0293 6.0318
O -12.0740 3.6603 9.5860
O -5.6191 3.4034 7.6496
O -5.4083 4.4926 4.0832
O -8.0990 1.5978 3.6945
O -9.3074 3.1035 6.7830
Os -4.0769 -0.0047 5.0714
O -1.6440 1.3409 1.7582
O -4.9098 -0.5340 3.4214
Os -0.7719 1.1598 3.5549
Os -2.7821 2.5052 0.6007
O -7.8896 5.0305 5.3123
O -8.3097 0.5086 7.2610
Ba 0.0000 0.0000 0.0000
```

On energetic grounds, *Q* is preferred over the next structure by 0.145 eV/atom.

*P*
First-principles (PBE) data for an optimized crystal structure of BaPOsO2, as listed in Alexandria via LeMat-Bulk.

space-group type: P4/mmm (123)

```
5
Lattice="4.2225 0.0000 0.0000 0.0000 4.2225 0.0000 0.0000 0.0000 6.9174" Properties=species:S:1:pos:R:3 pbc="T T T"
Os 2.1112 2.1112 3.4587
P 0.0000 0.0000 3.4587
O 0.0000 2.1112 0.0000
Ba 0.0000 0.0000 0.0000
O 2.1112 0.0000 0.0000
```

*Q*
First-principles (PBE) data for an optimized crystal structure of BaPOsO2, as listed in Alexandria via LeMat-Bulk.

space-group type: P4/mmm (123)

```
5
Lattice="4.2334 0.0000 0.0000 0.0000 4.2334 0.0000 0.0000 0.0000 4.5596" Properties=species:S:1:pos:R:3 pbc="T T T"
O 2.1167 0.0000 0.0000
Os 0.0000 0.0000 0.0000
P 0.0000 0.0000 2.2798
Ba 2.1167 2.1167 2.2798
O 0.0000 2.1167 0.0000
```

On energetic grounds, *Q* is preferred over the next structure by 1.916 eV/atom.

*P*
First-principles (PBE) data for an optimized crystal structure of BaP2OsO, as listed in Alexandria via LeMat-Bulk.

space-group type: P4/mmm (123)

```
5
Lattice="4.4921 0.0000 0.0000 0.0000 4.4921 0.0000 0.0000 0.0000 4.9875" Properties=species:S:1:pos:R:3 pbc="T T T"
Os 0.0000 0.0000 0.0000
O 0.0000 0.0000 2.4937
Ba 2.2460 2.2460 2.4937
P 2.2460 0.0000 0.0000
P 0.0000 2.2460 0.0000
```

*Q*
First-principles (PBE) data for an optimized crystal structure of BaP2OsO, as listed in Alexandria via LeMat-Bulk.

space-group type: P4/mmm (123)

```
5
Lattice="-0.7513 -2.2062 5.1677 -0.6357 -5.1468 -2.2897 4.1945 -0.6634 0.3266" Properties=species:S:1:pos:R:3 pbc="T T T"
Os 1.4037 -4.0082 1.6023
O 2.0972 -0.3317 0.1633
P -0.3756 -1.1031 2.5838
P -0.3179 -2.5734 -1.1448
Ba 0.0000 0.0000 0.0000
```

On energetic grounds, *P* is preferred over the next structure by 2.245 eV/atom.